#i
The following is a PBE calculation of a relaxed Rb3SrW crystal, from Alexandria.

Structure (CIF):
```
data_Rb3SrW
_chemical_formula_sum 'Rb3 Sr1 W1'
_cell_length_a 7.1353
_cell_length_b 7.1353
_cell_length_c 7.1353
_cell_angle_alpha 90.00
_cell_angle_beta 90.00
_cell_angle_gamma 90.00
_space_group_name_H-M_alt 'P m -3 m'
_space_group_IT_number 221
_space_group_name_Hall '-P 4 2 3'
loop_
_atom_site_label
_atom_site_type_symbol
_atom_site_fract_x
_atom_site_fract_y
_atom_site_fract_z
Rb1 Rb 0.0000 0.0000 0.5000
Sr1 Sr 0.5000 0.5000 0.5000
W1 W 0.0000 0.0000 0.0000
```

## Properties
volume: 72.66 Å³/atom


#ii
The following is a PBE calculation of a relaxed Rb3SrW crystal, from Alexandria.

Structure (CIF):
```
data_Rb3SrW
_chemical_formula_sum 'Rb3 Sr1 W1'
_cell_length_a 7.9533
_cell_length_b 7.9533
_cell_length_c 7.9533
_cell_angle_alpha 90.00
_cell_angle_beta 90.00
_cell_angle_gamma 90.00
_space_group_name_H-M_alt 'P m -3 m'
_space_group_IT_number 221
_space_group_name_Hall '-P 4 2 3'
loop_
_atom_site_label
_atom_site_type_symbol
_atom_site_fract_x
_atom_site_fract_y
_atom_site_fract_z
Rb1 Rb 0.0000 0.0000 0.5000
Sr1 Sr 0.0000 0.0000 0.0000
W1 W 0.5000 0.5000 0.5000
```

## Properties
volume: 100.62 Å³/atom


Stability check: which of them is most stable? #i.


#i
The following is a PBE calculation of a relaxed Rb2SrW crystal, from Alexandria.

Structure (CIF):
```
data_Rb2SrW
_chemical_formula_sum 'Rb8 Sr4 W4'
_cell_length_a 9.1452
_cell_length_b 9.1452
_cell_length_c 9.1452
_cell_angle_alpha 90.00
_cell_angle_beta 90.00
_cell_angle_gamma 90.00
_space_group_name_H-M_alt 'F m -3 m'
_space_group_IT_number 225
_space_group_name_Hall '-F 4 2 3'
loop_
_atom_site_label
_atom_site_type_symbol
_atom_site_fract_x
_atom_site_fract_y
_atom_site_fract_z
Rb1 Rb 0.2500 0.2500 0.2500
Sr1 Sr 0.0000 0.0000 0.0000
W1 W 0.0000 0.0000 0.5000
```

## Properties
volume: 47.80 Å³/atom


#ii
The following is a PBE calculation of a relaxed Rb2SrW crystal, from Alexandria.

Structure (CIF):
```
data_Rb2SrW
_chemical_formula_sum 'Rb8 Sr4 W4'
_cell_length_a 5.1721
_cell_length_b 5.1721
_cell_length_c 28.4759
_cell_angle_alpha 90.00
_cell_angle_beta 90.00
_cell_angle_gamma 90.00
_space_group_name_H-M_alt 'I -4 2 d'
_space_group_IT_number 122
_space_group_name_Hall 'I -4 2bw'
loop_
_atom_site_label
_atom_site_type_symbol
_atom_site_fract_x
_atom_site_fract_y
_atom_site_fract_z
Rb1 Rb 0.2293 0.2500 0.1250
Sr1 Sr 0.0000 0.0000 0.5000
W1 W 0.0000 0.0000 0.0000
```

## Properties
volume: 47.61 Å³/atom


Stability check: which of them is most stable? #ii.


#i
The following is a PBE calculation of a relaxed RbSrW2 crystal, from Alexandria.

Structure (CIF):
```
data_RbSrW2
_chemical_formula_sum 'Rb4 Sr4 W8'
_cell_length_a 7.7728
_cell_length_b 7.7728
_cell_length_c 7.7728
_cell_angle_alpha 90.00
_cell_angle_beta 90.00
_cell_angle_gamma 90.00
_space_group_name_H-M_alt 'F m -3 m'
_space_group_IT_number 225
_space_group_name_Hall '-F 4 2 3'
loop_
_atom_site_label
_atom_site_type_symbol
_atom_site_fract_x
_atom_site_fract_y
_atom_site_fract_z
Rb1 Rb 0.0000 0.0000 0.0000
Sr1 Sr 0.0000 0.0000 0.5000
W1 W 0.2500 0.2500 0.2500
```

## Properties
volume: 29.35 Å³/atom


#ii
The following is a PBE calculation of a relaxed RbSrW2 crystal, from Alexandria.

Structure (CIF):
```
data_RbSrW2
_chemical_formula_sum 'Rb4 Sr4 W8'
_cell_length_a 9.0958
_cell_length_b 9.0958
_cell_length_c 5.4798
_cell_angle_alpha 90.00
_cell_angle_beta 90.00
_cell_angle_gamma 90.00
_space_group_name_H-M_alt 'I -4 2 d'
_space_group_IT_number 122
_space_group_name_Hall 'I -4 2bw'
loop_
_atom_site_label
_atom_site_type_symbol
_atom_site_fract_x
_atom_site_fract_y
_atom_site_fract_z
Rb1 Rb 0.0000 0.0000 0.0000
Sr1 Sr 0.0000 0.0000 0.5000
W1 W 0.2483 0.2500 0.6250
```

## Properties
volume: 28.34 Å³/atom


Stability check: which of them is most stable? #ii.